[1]
The following is a DFT calculation (GGA-PBE) of crystalline ZnCo2HRh at its relaxed geometry.

Lattice parameters (Å, degrees): 3.5890 3.5890 4.0622 90.00 90.00 90.00
Fractional coordinates of all 5 atoms:
Zn 0.0000 0.0000 0.0000
Co 0.0000 0.5000 0.5000
Co 0.5000 0.0000 0.5000
H 0.0000 0.0000 0.5000
Rh 0.5000 0.5000 0.0000

Computed properties:
Energy relative to the lowest polymorph listed for this composition = 0.54 eV per formula unit
Crystal system = tetragonal
Magnetic moment = 3.26 Bohr magnetons per cell
E_tot = -25.8 eV per cell
Density = 9.1 Mg/m³

[2]
The following is a DFT calculation (GGA-PBE) of crystalline Hg8Se at its relaxed geometry.

Lattice parameters (Å, degrees): 8.0444 8.0444 8.0444 93.36 93.36 152.00
Fractional coordinates of all 9 atoms:
Hg 0.0000 0.3319 0.3319
Hg 0.0000 0.6681 0.6681
Hg 0.3319 0.0000 0.3319
Hg 0.3390 0.3390 0.6780
Hg 0.3390 0.6610 0.0000
Hg 0.6610 0.3390 0.0000
Hg 0.6610 0.6610 0.3220
Hg 0.6681 0.0000 0.6681
Se 0.0000 0.0000 0.0000

Computed properties:
Crystal system = tetragonal
Magnetic moment = 0.00 Bohr magnetons per cell
Formation energy (no corrections) = 0.065 eV per atom
E_tot = -5.3 eV per cell
Density = 11.8 Mg/m³

[3]
The following is a DFT calculation (GGA-PBE) of crystalline Al3CuSe4 at its relaxed geometry.

Lattice parameters (Å, degrees): 6.7621 6.7621 6.7621 126.34 126.34 79.34
Fractional coordinates of all 8 atoms:
Al 0.0000 0.0000 0.0000
Al 0.2500 0.7500 0.5000
Al 0.7500 0.2500 0.5000
Cu 0.5000 0.5000 0.0000
Se 0.1257 0.1257 0.4960
Se 0.3704 0.8743 0.0000
Se 0.6296 0.6296 0.5040
Se 0.8743 0.3704 0.0000

Computed properties:
Crystal system = tetragonal
Magnetic moment = 0.00 Bohr magnetons per cell
Formation energy (no corrections) = -0.382 eV per atom
E_tot = -32.3 eV per cell
Density = 3.9 Mg/m³

[4]
The following is a DFT calculation (GGA-PBE) of crystalline VCoMo2 at its relaxed geometry.

Lattice parameters (Å, degrees): 3.0705 3.0705 5.9397 90.00 90.00 90.00
Fractional coordinates of all 4 atoms:
V 0.0000 0.0000 0.0000
Co 0.0000 0.0000 0.5000
Mo 0.5000 0.5000 0.2496
Mo 0.5000 0.5000 0.7504

Computed properties:
Energy relative to the lowest polymorph listed for this composition = 0.00 eV per formula unit
Crystal system = tetragonal
Magnetic moment = 1.57 Bohr magnetons per cell
E_tot = -37.6 eV per cell
Density = 8.9 Mg/m³

[5]
The following is a DFT calculation (GGA-PBE) of crystalline TiZnSn2As at its relaxed geometry.

Lattice parameters (Å, degrees): 5.3017 5.3017 4.9495 90.00 90.00 90.00
Fractional coordinates of all 5 atoms:
Ti 0.0000 0.0000 0.0000
Zn 0.0000 0.0000 0.5000
Sn 0.0000 0.5000 0.0000
Sn 0.5000 0.0000 0.0000
As 0.5000 0.5000 0.5000

Computed properties:
Crystal system = tetragonal
Magnetic moment = 0.00 Bohr magnetons per cell
E_tot = -18.5 eV per cell
Density = 5.1 Mg/m³

[6]
The following is a DFT calculation (GGA-PBE) of crystalline Tb3Se2S2 at its relaxed geometry.

Lattice parameters (Å, degrees): 3.9839 6.8549 7.0695 99.35 90.04 106.89
Fractional coordinates of all 7 atoms:
Tb 0.0000 0.0000 0.0000
Tb 0.2418 0.4845 0.7480
Tb 0.7582 0.5155 0.2520
Se 0.1250 0.2481 0.3716
Se 0.8750 0.7519 0.6284
S 0.3725 0.7448 0.1082
S 0.6275 0.2552 0.8918

Computed properties:
Crystal system = triclinic
Magnetic moment = 0.00 Bohr magnetons per cell
Formation energy (no corrections) = -1.989 eV per atom
E_tot = -43.0 eV per cell
Density = 6.4 Mg/m³

[7]
The following is a DFT calculation (GGA-PBE) of crystalline BaGa2Ag2 at its relaxed geometry.

Lattice parameters (Å, degrees): 6.5766 6.5766 6.5766 138.60 138.60 59.98
Fractional coordinates of all 5 atoms:
Ba 0.0000 0.0000 0.0000
Ga 0.2500 0.7500 0.5000
Ga 0.7500 0.2500 0.5000
Ag 0.3718 0.3718 0.0000
Ag 0.6282 0.6282 0.0000

Computed properties:
Crystal system = tetragonal
Magnetic moment = 0.00 Bohr magnetons per cell
E_tot = -14.9 eV per cell
Density = 6.6 Mg/m³

[8]
The following is a DFT calculation (GGA-PBE) of crystalline Ac2CdRh at its relaxed geometry.

Lattice parameters (Å, degrees): 8.7092 8.7092 8.7092 28.88 28.88 28.88
Fractional coordinates of all 4 atoms:
Ac 0.0000 0.0000 0.0000
Ac 0.2030 0.2030 0.2030
Cd 0.7683 0.7683 0.7683
Rh 0.6025 0.6025 0.6025

Computed properties:
Crystal system = trigonal
Magnetic moment = 0.00 Bohr magnetons per cell
E_tot = -18.4 eV per cell
Density = 8.2 Mg/m³

[9]
The following is a DFT calculation (GGA-PBE) of crystalline AcPr2Sm2Er2 at its relaxed geometry.

Lattice parameters (Å, degrees): 6.3740 6.3740 8.1750 97.50 97.50 48.21
Fractional coordinates of all 7 atoms:
Ac 0.0000 0.0000 0.0000
Pr 0.2855 0.2855 0.8476
Pr 0.7145 0.7145 0.1524
Sm 0.4259 0.4259 0.2941
Sm 0.5741 0.5741 0.7059
Er 0.1422 0.1422 0.4340
Er 0.8578 0.8578 0.5660

Computed properties:
Crystal system = monoclinic
Magnetic moment = 0.00 Bohr magnetons per cell
E_tot = -32.0 eV per cell
Density = 7.8 Mg/m³

[10]
The following is a DFT calculation (GGA-PBE) of crystalline CdCu4 at its relaxed geometry.

Lattice parameters (Å, degrees): 4.6675 4.6675 4.6675 99.31 99.31 132.57
Fractional coordinates of all 5 atoms:
Cd 0.0000 0.0000 0.0000
Cu 0.1899 0.5928 0.7828
Cu 0.4072 0.1899 0.5971
Cu 0.5928 0.8101 0.4029
Cu 0.8101 0.4072 0.2172

Computed properties:
Energy relative to the lowest polymorph listed for this composition = 0.00 eV per formula unit
Crystal system = tetragonal
Magnetic moment = 0.00 Bohr magnetons per cell
E_tot = -17.0 eV per cell
Density = 8.9 Mg/m³

[11]
The following is a DFT calculation (GGA-PBE) of crystalline SnP at its relaxed geometry.

Lattice parameters (Å, degrees): 3.2090 5.5012 6.0680 90.00 100.80 90.00
Fractional coordinates of all 4 atoms:
Sn 0.1649 0.0000 0.2530
Sn 0.8351 0.0000 0.7470
P 0.2058 0.5000 0.3752
P 0.7942 0.5000 0.6248

Computed properties:
Crystal system = monoclinic
Magnetic moment = 0.00 Bohr magnetons per cell
E_tot = -18.8 eV per cell
Density = 4.7 Mg/m³

[12]
The following is a DFT calculation (GGA-PBE) of crystalline Ce3HoBi4 at its relaxed geometry.

Lattice parameters (Å, degrees): 7.9036 7.9036 4.5748 90.00 90.00 109.53
Fractional coordinates of all 8 atoms:
Ce 0.0000 0.0000 0.0000
Ce 0.0000 0.5000 0.5000
Ce 0.5000 0.0000 0.5000
Ho 0.5000 0.5000 0.0000
Bi 0.2528 0.7472 0.0000
Bi 0.2554 0.2554 0.5000
Bi 0.7446 0.7446 0.5000
Bi 0.7472 0.2528 0.0000

Computed properties:
Energy relative to the lowest polymorph listed for this composition = 0.00 eV per formula unit
Crystal system = orthorhombic
Magnetic moment = 2.66 Bohr magnetons per cell
E_tot = -44.3 eV per cell
Density = 8.8 Mg/m³